Entry 1:
The following is a PBE calculation of BaIn2Fe after structural relaxation, from the Alexandria database.

Summary:
The total magnetization comes out at 2.47 μB per formula unit. The formation energy is 225 meV per atom. Its total energy is -0.2749 Ry per atom.

a = 6.455 Å, b = 6.455 Å, c = 6.455 Å
α = 149.36°, β = 127.48°, γ = 62.04°
Element x y z (fractional)
In  0.047  0.047  0.000
Fe  0.250  0.750  0.500
In  0.453  0.453  0.000
Ba  0.750  0.250  0.500


Entry 2:
The following is a PBE calculation of Sb2OsW after structural relaxation, from the Alexandria database.

Summary:
Its raw formation energy is 1042 meV per atom. The total magnetization comes out at 0.70 μB per formula unit. Its total energy is -0.5192 Ry per atom.

a = 4.767 Å, b = 4.767 Å, c = 4.767 Å
α = 60.00°, β = 60.00°, γ = 60.00°
Element x y z (fractional)
Sb  0.250  0.250  0.250
W  0.750  0.750  0.750
Os  0.500  0.500  0.500
Sb  0.000  0.000  0.000


Entry 3:
The following is a PBE calculation of Sr2LuCu2Bi2O8 after structural relaxation, from the Alexandria database.

Summary:
Its raw formation energy is -1786 meV per atom. The total magnetization comes out at 0.00 μB per formula unit. Its total energy is -0.4424 Ry per atom.

a = 3.774 Å, b = 3.774 Å, c = 15.547 Å
α = 96.97°, β = 96.97°, γ = 90.00°
Element x y z (fractional)
Sr  0.113  0.113  0.225
Bi  0.702  0.702  0.405
Bi  0.298  0.298  0.595
O  0.454  0.954  0.908
O  0.954  0.454  0.908
O  0.199  0.199  0.398
O  0.546  0.046  0.092
Cu  0.550  0.550  0.100
O  0.367  0.367  0.734
O  0.633  0.633  0.266
Lu  0.000  0.000  0.000
Sr  0.887  0.887  0.775
O  0.046  0.546  0.092
O  0.801  0.801  0.602
Cu  0.450  0.450  0.900


Entry 4:
The following is a PBE calculation of La2HoTmSe4 after structural relaxation, from the Alexandria database.

Summary:
Its raw formation energy is -1856 meV per atom. The total magnetization comes out at 0.00 μB per formula unit. Its total energy is -0.4381 Ry per atom.

a = 4.090 Å, b = 7.124 Å, c = 7.440 Å
α = 108.46°, β = 90.00°, γ = 90.00°
Element x y z (fractional)
Se  0.500  0.760  0.774
La  0.500  0.000  0.500
La  0.000  0.500  0.500
Tm  0.000  0.000  0.000
Se  0.000  0.256  0.773
Se  0.000  0.744  0.227
Ho  0.500  0.500  0.000
Se  0.500  0.240  0.226


Entry 5:
The following is a PBE calculation of ZrTc2Pd after structural relaxation, from the Alexandria database.

Summary:
The total magnetization comes out at 0.00 μB per formula unit. The formation energy is 158 meV per atom. Its total energy is -0.6218 Ry per atom.

a = 4.532 Å, b = 4.532 Å, c = 4.532 Å
α = 60.00°, β = 60.00°, γ = 60.00°
Element x y z (fractional)
Pd  0.500  0.500  0.500
Zr  0.000  0.000  0.000
Tc  0.750  0.750  0.750
Tc  0.250  0.250  0.250


Entry 6:
The following is a PBE calculation of Nd12In6Bi after structural relaxation, from the Alexandria database.

Summary:
The total magnetization comes out at 0.00 μB per formula unit. The formation energy is -199 meV per atom. Its total energy is -0.3145 Ry per atom.

a = 9.055 Å, b = 9.055 Å, c = 9.055 Å
α = 107.42°, β = 107.42°, γ = 107.42°
Element x y z (fractional)
In  0.643  0.744  0.339
Bi  0.000  0.000  0.000
In  0.357  0.256  0.661
Nd  0.604  0.938  0.687
Nd  0.062  0.313  0.396
Nd  0.651  0.962  0.118
Nd  0.882  0.349  0.038
Nd  0.938  0.687  0.604
Nd  0.349  0.038  0.882
Nd  0.313  0.396  0.062
In  0.339  0.643  0.744
Nd  0.396  0.062  0.313
Nd  0.687  0.604  0.938
In  0.744  0.339  0.643
In  0.256  0.661  0.357
In  0.661  0.357  0.256
Nd  0.118  0.651  0.962
Nd  0.038  0.882  0.349
Nd  0.962  0.118  0.651


Entry 7:
The following is a PBE calculation of Ce3WN6 after structural relaxation, from the Alexandria database.

Summary:
Its raw formation energy is -1230 meV per atom. The total magnetization comes out at 0.00 μB per formula unit. Its total energy is -0.6836 Ry per atom.

a = 5.612 Å, b = 7.464 Å, c = 7.464 Å
α = 103.54°, β = 90.00°, γ = 90.00°
Element x y z (fractional)
N  0.214  0.350  0.331
Ce  0.470  0.303  0.095
N  0.139  0.050  0.950
N  0.171  0.790  0.210
N  0.175  0.417  0.892
N  0.714  0.650  0.669
Ce  0.970  0.697  0.905
Ce  0.470  0.905  0.697
Ce  0.943  0.602  0.398
N  0.214  0.669  0.650
W  0.012  0.196  0.804
N  0.671  0.210  0.790
N  0.714  0.331  0.350
N  0.675  0.892  0.417
Ce  0.443  0.398  0.602
Ce  0.970  0.095  0.303
N  0.639  0.950  0.050
W  0.512  0.804  0.196
N  0.175  0.108  0.583
N  0.675  0.583  0.108


Entry 8:
The following is a PBE calculation of LaTaOs2 after structural relaxation, from the Alexandria database.

Summary:
The total magnetization comes out at 0.00 μB per formula unit. The formation energy is 530 meV per atom. Its total energy is -0.6820 Ry per atom.

a = 7.363 Å, b = 7.363 Å, c = 6.038 Å
α = 52.43°, β = 52.43°, γ = 90.00°
Element x y z (fractional)
Ta  0.750  0.250  0.500
La  0.500  0.500  0.000
Os  0.875  0.910  0.750
Ta  0.000  0.000  0.000
Os  0.090  0.625  0.250
Os  0.660  0.125  0.250
La  0.250  0.750  0.500
Os  0.375  0.340  0.750


Entry 9:
The following is a PBE calculation of CaMoSe after structural relaxation, from the Alexandria database.

Summary:
Its raw formation energy is -238 meV per atom. The total magnetization comes out at 0.00 μB per formula unit. Its total energy is -0.4173 Ry per atom.

a = 6.044 Å, b = 6.044 Å, c = 3.341 Å
α = 73.96°, β = 73.96°, γ = 32.09°
Element x y z (fractional)
Mo  0.298  0.298  0.702
Ca  0.999  0.999  0.001
Se  0.702  0.702  0.298


Entry 10:
The following is a PBE calculation of PaAl5Cu2 after structural relaxation, from the Alexandria database.

Summary:
The total magnetization comes out at 0.64 μB per formula unit. The formation energy is -215 meV per atom. Its total energy is -0.3502 Ry per atom.

a = 3.932 Å, b = 6.309 Å, c = 6.309 Å
α = 68.59°, β = 71.84°, γ = 71.84°
Element x y z (fractional)
Al  0.352  0.839  0.456
Al  0.352  0.456  0.839
Cu  0.750  0.750  0.750
Al  0.000  0.500  0.500
Al  0.648  0.161  0.544
Al  0.648  0.544  0.161
Cu  0.250  0.250  0.250
Pa  0.000  0.000  0.000


Entry 11:
The following is a PBE calculation of SiPt3 after structural relaxation, from the Alexandria database.

Summary:
Its raw formation energy is -472 meV per atom. The total magnetization comes out at 0.00 μB per formula unit. Its total energy is -0.4673 Ry per atom.

a = 5.495 Å, b = 5.495 Å, c = 3.981 Å
α = 90.00°, β = 90.00°, γ = 90.00°
Element x y z (fractional)
Pt  0.000  0.000  0.500
Pt  0.500  0.500  0.500
Pt  0.183  0.683  0.000
Si  0.500  0.000  0.500
Pt  0.817  0.317  0.000
Pt  0.317  0.183  0.000
Pt  0.683  0.817  0.000
Si  0.000  0.500  0.500


Entry 12:
The following is a PBE calculation of Cd2TcHgW after structural relaxation, from the Alexandria database.

Summary:
The total magnetization comes out at 5.87 μB per formula unit. The formation energy is 2146 meV per atom. Its total energy is -0.2164 Ry per atom.

a = 5.092 Å, b = 5.148 Å, c = 5.092 Å
α = 90.00°, β = 90.00°, γ = 90.00°
Element x y z (fractional)
Cd  0.500  0.000  0.000
Cd  0.000  0.000  0.500
W  0.500  0.500  0.500
Hg  0.000  0.000  0.000
Tc  0.000  0.500  0.000


Entry 13:
The following is a PBE calculation of TbNp2S6 after structural relaxation, from the Alexandria database.

Summary:
Its raw formation energy is -1297 meV per atom. The total magnetization comes out at 5.00 μB per formula unit. Its total energy is -0.5468 Ry per atom.

a = 5.099 Å, b = 7.157 Å, c = 7.567 Å
α = 73.24°, β = 70.31°, γ = 69.13°
Element x y z (fractional)
Np  0.182  0.742  0.894
S  0.960  0.857  0.222
S  0.371  0.707  0.551
S  0.743  0.637  0.878
S  0.040  0.143  0.778
S  0.257  0.363  0.122
S  0.629  0.293  0.449
Tb  0.000  0.500  0.500
Np  0.818  0.258  0.106


Entry 14:
The following is a PBE calculation of InBrN2 after structural relaxation, from the Alexandria database.

Summary:
Its raw formation energy is 1767 meV per atom. The total magnetization comes out at 0.00 μB per formula unit. Its total energy is -0.2571 Ry per atom.

a = 7.103 Å, b = 7.103 Å, c = 7.103 Å
α = 26.56°, β = 26.56°, γ = 26.56°
Element x y z (fractional)
Br  0.500  0.500  0.500
In  0.000  0.000  0.000
N  0.110  0.110  0.110
N  0.890  0.890  0.890


Entry 15:
The following is a PBE calculation of Mg2ZrRu after structural relaxation, from the Alexandria database.

Summary:
The total magnetization comes out at 0.38 μB per formula unit. The formation energy is 82 meV per atom. Its total energy is -0.3801 Ry per atom.

a = 5.614 Å, b = 5.397 Å, c = 2.923 Å
α = 74.73°, β = 82.32°, γ = 114.34°
Element x y z (fractional)
Mg  0.000  0.500  0.500
Zr  0.500  0.000  0.500
Mg  0.000  0.000  0.000
Ru  0.500  0.500  0.000


Entry 16:
The following is a PBE calculation of SrNdCdPt after structural relaxation, from the Alexandria database.

Summary:
The total magnetization comes out at 0.00 μB per formula unit. The formation energy is -547 meV per atom. Its total energy is -0.2865 Ry per atom.

a = 5.319 Å, b = 5.319 Å, c = 5.319 Å
α = 60.00°, β = 60.00°, γ = 60.00°
Element x y z (fractional)
Sr  0.000  0.000  0.000
Nd  0.500  0.500  0.500
Pt  0.750  0.750  0.750
Cd  0.250  0.250  0.250


Entry 17:
The following is a PBE calculation of CoSiNi after structural relaxation, from the Alexandria database.

Summary:
Its raw formation energy is -503 meV per atom. The total magnetization comes out at 0.00 μB per formula unit. Its total energy is -0.4856 Ry per atom.

a = 3.726 Å, b = 4.940 Å, c = 7.059 Å
α = 90.00°, β = 90.00°, γ = 90.00°
Element x y z (fractional)
Co  0.750  0.327  0.435
Si  0.750  0.287  0.108
Co  0.250  0.173  0.935
Si  0.250  0.213  0.608
Co  0.250  0.673  0.565
Ni  0.250  0.038  0.288
Ni  0.750  0.462  0.788
Si  0.250  0.713  0.892
Ni  0.750  0.962  0.712
Si  0.750  0.787  0.392
Co  0.750  0.827  0.065
Ni  0.250  0.538  0.212


Entry 18:
The following is a PBE calculation of Nd4CdTc after structural relaxation, from the Alexandria database.

Summary:
The total magnetization comes out at 0.00 μB per formula unit. The formation energy is -110 meV per atom. Its total energy is -0.3799 Ry per atom.

a = 6.411 Å, b = 7.985 Å, c = 7.985 Å
α = 111.56°, β = 99.92°, γ = 99.92°
Element x y z (fractional)
Cd  0.750  0.623  0.377
Nd  0.609  0.204  0.366
Nd  0.391  0.796  0.634
Nd  0.547  0.275  0.938
Tc  0.250  0.000  0.000
Nd  0.047  0.938  0.275
Tc  0.750  0.000  0.000
Nd  0.891  0.634  0.796
Nd  0.453  0.725  0.062
Nd  0.953  0.062  0.725
Cd  0.250  0.377  0.623
Nd  0.109  0.366  0.204


Entry 19:
The following is a PBE calculation of AcBO3 after structural relaxation, from the Alexandria database.

Summary:
Its raw formation energy is -3064 meV per atom. The total magnetization comes out at 0.00 μB per formula unit. Its total energy is -0.6024 Ry per atom.

a = 5.181 Å, b = 6.495 Å, c = 5.181 Å
α = 87.66°, β = 120.79°, γ = 87.65°
Element x y z (fractional)
O  0.940  0.741  0.011
O  0.241  0.725  0.780
O  0.715  0.641  0.510
B  0.969  0.702  0.764
B  0.015  0.202  0.718
O  0.761  0.141  0.464
O  0.031  0.224  0.990
O  0.262  0.241  0.689
Ac  0.667  0.445  0.076
Ac  0.327  0.945  0.417


Entry 20:
The following is a PBE calculation of CaPuMg2 after structural relaxation, from the Alexandria database.

Summary:
The total magnetization comes out at 6.20 μB per formula unit. The formation energy is 96 meV per atom. Its total energy is -0.3517 Ry per atom.

a = 3.338 Å, b = 3.338 Å, c = 10.045 Å
α = 90.00°, β = 90.00°, γ = 90.00°
Element x y z (fractional)
Pu  0.500  0.500  0.000
Mg  0.000  0.000  0.245
Ca  0.500  0.500  0.500
Mg  0.000  0.000  0.755


Entry 21:
The following is a PBE calculation of Nd3SmDy6Tm2 after structural relaxation, from the Alexandria database.

Summary:
The total magnetization comes out at 0.00 μB per formula unit. The formation energy is 19 meV per atom. Its total energy is -0.3390 Ry per atom.

a = 6.194 Å, b = 6.194 Å, c = 11.830 Å
α = 94.99°, β = 94.99°, γ = 119.98°
Element x y z (fractional)
Nd  0.500  0.500  0.500
Nd  0.833  0.167  0.500
Dy  0.748  0.748  0.246
Dy  0.583  0.917  0.754
Dy  0.417  0.083  0.246
Dy  0.252  0.252  0.754
Tm  0.667  0.333  0.000
Dy  0.917  0.583  0.754
Tm  0.333  0.667  0.000
Sm  0.000  0.000  0.000
Dy  0.083  0.417  0.246
Nd  0.167  0.833  0.500


Entry 22:
The following is a PBE calculation of Na4Ru after structural relaxation, from the Alexandria database.

Summary:
The total magnetization comes out at 1.41 μB per formula unit. The formation energy is 847 meV per atom. Its total energy is -0.1517 Ry per atom.

a = 5.567 Å, b = 5.567 Å, c = 5.567 Å
α = 90.00°, β = 90.00°, γ = 90.00°
Element x y z (fractional)
Na  0.000  0.000  0.000
Na  0.500  0.500  0.000
Ru  0.500  0.500  0.500
Na  0.500  0.000  0.500
Na  0.000  0.500  0.500


Entry 23:
The following is a PBE calculation of TbP2Ir5 after structural relaxation, from the Alexandria database.

Summary:
The total magnetization comes out at 0.00 μB per formula unit. The formation energy is -663 meV per atom. Its total energy is -0.5977 Ry per atom.

a = 3.935 Å, b = 6.128 Å, c = 6.128 Å
α = 68.05°, β = 71.27°, γ = 71.27°
Element x y z (fractional)
Ir  0.353  0.852  0.441
P  0.752  0.748  0.748
Ir  0.000  0.500  0.500
Tb  0.000  0.000  0.000
P  0.248  0.252  0.252
Ir  0.647  0.148  0.559
Ir  0.647  0.559  0.148
Ir  0.353  0.441  0.852


Entry 24:
The following is a PBE calculation of ThTiAl after structural relaxation, from the Alexandria database.

Summary:
The total magnetization comes out at 0.00 μB per formula unit. The formation energy is -12 meV per atom. Its total energy is -0.4677 Ry per atom.

a = 3.401 Å, b = 4.829 Å, c = 4.829 Å
α = 120.00°, β = 90.00°, γ = 90.00°
Element x y z (fractional)
Al  0.166  0.333  0.667
Th  0.667  0.667  0.333
Ti  0.167  0.000  0.000